# 1
VASP calculation (GGA-PBE) on a geometry-optimized TbCeSm6 structure.

a = 7.224 Å, b = 10.197 Å, c = 14.439 Å
α = 90.00°, β = 90.00°, γ = 90.00°
Space group Fmmm (No. 69)
Inequivalent atoms, fractional coordinates:
Tb  0.000  0.000  0.000
Ce  0.000  0.000  0.500
Sm  0.000  0.000  0.252
Sm  0.250  0.250  0.123

Electronic total energy (eV/atom): -4.81
Total moment (μB per atom): 0.1396
DFT formation energy (meV/atom): 47

# 2
VASP calculation (GGA-PBE) on a geometry-optimized Tb8CeSm4 structure.

a = 11.0178 Å, b = 11.0178 Å, c = 13.5193 Å
α = 90.00°, β = 90.00°, γ = 120.00°
Space group R-3m (No. 166, hexagonal axes)
Inequivalent atoms, fractional coordinates:
Tb  0.0000  0.0000  0.2412
Tb  0.0120  0.5060  0.7475
Ce  0.0000  0.0000  0.5000
Sm  0.0000  0.0000  0.0000
Sm  0.0000  0.5000  0.0000

Electronic total energy (eV/atom): -4.25
Total moment (μB per atom): 0.1460
DFT formation energy (meV/atom): 512

# 3
VASP calculation (GGA-PBE) on a geometry-optimized TbCeSm2 structure.

a = 3.562 Å, b = 3.562 Å, c = 10.165 Å
α = 90.00°, β = 90.00°, γ = 90.00°
Space group P4/mmm (No. 123)
Inequivalent atoms, fractional coordinates:
Tb  0.000  0.000  0.000
Ce  0.000  0.000  0.500
Sm  0.500  0.500  0.256

Electronic total energy (eV/atom): -4.94
Energy above the most stable polymorph in this dataset (meV per atom): 0.0
Total moment (μB per atom): 0.1532
DFT formation energy (meV/atom): 63

Question: The lowest DFT formation energy belongs to which entry?
Answer: TbCeSm6

What did the third record say?
VASP calculation (GGA-PBE) on a geometry-optimized TbCeSm2 structure.

a = 3.562 Å, b = 3.562 Å, c = 10.165 Å
α = 90.00°, β = 90.00°, γ = 90.00°
Space group P4/mmm (No. 123)
Inequivalent atoms, fractional coordinates:
Tb  0.000  0.000  0.000
Ce  0.000  0.000  0.500
Sm  0.500  0.500  0.256

Electronic total energy (eV/atom): -4.94
Energy above the most stable polymorph in this dataset (meV per atom): 0.0
Total moment (μB per atom): 0.1532
DFT formation energy (meV/atom): 63

Question: Which value of total moment does entry 2 give?
Answer: 0.1460 μB per atom